Compound: Ba2SrGa
Source: Alexandria
Functional: GGA-PBE
Structure: optimized geometry

Values from the calculation:
The value obtained for the total DFT energy (no corrections) is -2.21 eV/atom.

a = 4.3584 Å, b = 4.3584 Å, c = 36.7062 Å
α = 90.00°, β = 90.00°, γ = 120.00°
Closest atoms and distances in Å follow each position.
Space group R3m (No. 160, hexagonal axes)
One atom of each set of equivalent atoms:
1 Ba 0.0000 0.0000 0.0000 x3  3 Ga 3.42
2 Ba 0.0000 0.0000 0.2070 x3  3 Ga 3.42
3 Sr 0.0000 0.0000 0.7700 x3  6 Sr 4.36, 6 Ba 4.55-4.56
4 Ga 0.0000 0.0000 0.6036 x3  6 Ba 3.42

---

Compound: CuIr2Br
Source: Alexandria
Functional: GGA-PBE
Structure: optimized geometry

Values from the calculation:
The value obtained for the uncorrected formation energy is 1.004 eV/atom.

a = 4.0856 Å, b = 4.0856 Å, c = 7.4597 Å
α = 90.00°, β = 90.00°, γ = 90.00°
Closest atoms and distances in Å follow each position.
Space group I-4m2 (No. 119)
One atom of each set of equivalent atoms:
1 Cu 0.0000 0.0000 0.0000 x2  4 Br 2.77, 8 Ir 2.77-2.89
2 Ir 0.0000 0.0000 0.5000 x2  4 Br 2.77, 4 Ir 2.77, 4 Cu 2.89
3 Ir 0.0000 0.5000 0.7500 x2  4 Ir 2.77, 4 Cu 2.77, 4 Br 2.89
4 Br 0.0000 0.5000 0.2500 x2  4 Cu 2.77, 8 Ir 2.77-2.89

---

Compound: LiFe2B6
Source: Alexandria
Functional: GGA-PBE
Structure: optimized geometry

Values from the calculation:
The value obtained for the total DFT energy (no corrections) is -6.74 eV/atom.

a = 3.0277 Å, b = 5.8317 Å, c = 8.4909 Å
α = 90.00°, β = 90.00°, γ = 90.00°
Closest atoms and distances in Å follow each position.
Space group Immm (No. 71)
One atom of each set of equivalent atoms:
1 Li 0.0000 0.0000 0.0000 x2  12 B 2.53-2.68
2 Fe 0.0000 0.5000 0.1468 x4  10 B 2.00-2.15
3 B 0.0000 0.1515 0.5000 x4  3 B 1.74-1.77
4 B 0.0000 0.2466 0.3062 x8  3 B 1.74-1.79

---

Compound: LiCrFe2
Source: Alexandria
Functional: GGA-PBE
Structure: optimized geometry

Values from the calculation:
The value obtained for the total DFT energy (no corrections) is -6.79 eV/atom.

a = 2.3710 Å, b = 3.9759 Å, c = 4.8485 Å
α = 90.00°, β = 90.00°, γ = 90.00°
Closest atoms and distances in Å follow each position.
Space group Pmm2 (No. 25)
One atom of each set of equivalent atoms:
1 Li 0.0000 0.0000 0.0000 x1  2 Li 2.37, 6 Fe 2.41-2.56
2 Cr 0.5000 0.5000 0.2697 x1  2 Cr 2.37, 6 Fe 2.40-2.58
3 Fe 0.0000 0.0000 0.5036 x1  2 Fe 2.37, 2 Li 2.41-2.44, 4 Cr 2.58
4 Fe 0.5000 0.5000 0.7743 x1  2 Fe 2.37, 2 Cr 2.40-2.45, 4 Li 2.56

---

Compound: LaScCl2
Source: Alexandria
Functional: GGA-PBE
Structure: optimized geometry

Values from the calculation:
The value obtained for the uncorrected formation energy is -1.360 eV/atom.

a = 3.7509 Å, b = 3.7509 Å, c = 29.7991 Å
α = 90.00°, β = 90.00°, γ = 120.00°
Closest atoms and distances in Å follow each position.
Space group R3m (No. 160, hexagonal axes)
One atom of each set of equivalent atoms:
1 La 0.0000 0.0000 0.0000 x3  3 Cl 2.89
2 Sc 0.0000 0.0000 0.7628 x3  3 Cl 2.65
3 Cl 0.0000 0.0000 0.2689 x3  3 La 2.89
4 Cl 0.0000 0.0000 0.4809 x3  3 Sc 2.65

---

Compound: Sm2Zn3GaCu4
Source: Alexandria
Functional: GGA-PBE
Structure: optimized geometry

Values from the calculation:
The value obtained for the total DFT energy (no corrections) is -3.54 eV/atom.

a = 4.1706 Å, b = 4.1706 Å, c = 10.2036 Å
α = 90.00°, β = 90.00°, γ = 90.00°
Closest atoms and distances in Å follow each position.
Space group P-4m2 (No. 115)
One atom of each set of equivalent atoms:
1 Sm 0.0000 0.5000 0.2480 x2  8 Cu 3.17-3.31, 6 Zn 3.20-3.28, 2 Ga 3.28
2 Zn 0.0000 0.0000 0.0000 x1  4 Cu 2.49
3 Zn 0.0000 0.5000 0.6290 x2  5 Cu 2.42-2.47
4 Ga 0.5000 0.5000 0.0000 x1  4 Cu 2.49
5 Cu 0.0000 0.0000 0.5000 x1  4 Zn 2.47
6 Cu 0.0000 0.5000 0.8663 x2  3 Zn 2.42-2.49, 2 Ga 2.49
7 Cu 0.5000 0.5000 0.5000 x1  4 Zn 2.47

---

Compound: Sn3BiSb4
Source: Alexandria
Functional: GGA-PBE
Structure: optimized geometry

Values from the calculation:
The value obtained for the uncorrected formation energy is 0.120 eV/atom.

a = 5.2090 Å, b = 5.2090 Å, c = 37.2194 Å
α = 90.00°, β = 90.00°, γ = 120.00°
Closest atoms and distances in Å follow each position.
Space group R3m (No. 160, hexagonal axes)
One atom of each set of equivalent atoms:
1 Sn 0.0000 0.0000 0.0000 x3  4 Sb 2.93-3.02
2 Sn 0.0000 0.0000 0.2397 x3  4 Sb 2.92-3.06
3 Sn 0.0000 0.0000 0.7358 x3  4 Sb 2.90-3.04
4 Bi 0.0000 0.0000 0.4949 x3  4 Sb 2.98-3.01
5 Sb 0.0000 0.0000 0.1612 x3  1 Sn 2.92, 3 Bi 3.01
6 Sb 0.0000 0.0000 0.4148 x3  1 Bi 2.98, 3 Sn 3.04
7 Sb 0.0000 0.0000 0.6580 x3  4 Sn 2.90-3.02
8 Sb 0.0000 0.0000 0.9212 x3  4 Sn 2.93-3.06

---

Compound: PmTmIrPd
Source: Alexandria
Functional: GGA-PBE
Structure: optimized geometry

Values from the calculation:
The value obtained for the total DFT energy (no corrections) is -6.66 eV/atom.

a = 6.9776 Å, b = 6.9776 Å, c = 6.9776 Å
α = 90.00°, β = 90.00°, γ = 90.00°
Closest atoms and distances in Å follow each position.
Space group F-43m (No. 216)
One atom of each set of equivalent atoms:
1 Pm 0.0000 0.0000 0.0000 x4  4 Pd 3.02, 4 Ir 3.02
2 Tm 0.0000 0.0000 0.5000 x4  4 Ir 3.02, 4 Pd 3.02
3 Ir 0.2500 0.2500 0.7500 x4  4 Pm 3.02, 4 Tm 3.02
4 Pd 0.2500 0.2500 0.2500 x4  4 Pm 3.02, 4 Tm 3.02

---

Compound: Tl4InPb
Source: Alexandria
Functional: GGA-PBE
Structure: optimized geometry

Values from the calculation:
The value obtained for the total DFT energy (no corrections) is -2.64 eV/atom.

a = 3.4124 Å, b = 5.4473 Å, c = 9.8629 Å
α = 90.00°, β = 92.90°, γ = 90.00°
Closest atoms and distances in Å follow each position.
Space group P2/m (No. 10)
One atom of each set of equivalent atoms:
1 Tl 0.1395 0.0000 0.1714 x2  1 In 3.41, 5 Tl 3.41-3.46, 2 Pb 3.46
2 Tl 0.2165 0.5000 0.6603 x2  2 In 3.32, 5 Tl 3.41-3.44, 1 Pb 3.44
3 In 0.5000 0.0000 0.5000 x1  6 Tl 3.32-3.41, 2 In 3.41
4 Pb 0.5000 0.5000 0.0000 x1  2 Pb 3.41, 6 Tl 3.44-3.46

---

Compound: CePm5Ho12
Source: Alexandria
Functional: GGA-PBE
Structure: optimized geometry

Values from the calculation:
The value obtained for the total DFT energy (no corrections) is -4.67 eV/atom.

a = 18.4959 Å, b = 10.6766 Å, c = 6.1650 Å
α = 90.00°, β = 109.32°, γ = 90.00°
Closest atoms and distances in Å follow each position.
Space group C2/m (No. 12)
One atom of each set of equivalent atoms:
1 Ce 0.0000 0.0000 0.0000 x2  10 Ho 3.53-3.56, 2 Pm 3.53
2 Pm 0.0000 0.5000 0.5000 x2  10 Ho 3.57, 2 Pm 3.57
3 Pm 0.1654 0.0000 0.4948 x4  1 Ce 3.53, 10 Ho 3.54-3.59, 1 Pm 3.60
4 Pm 0.1668 0.5000 0.0003 x4  10 Ho 3.55-3.58, 2 Pm 3.57-3.60
5 Ho 0.0000 0.1660 0.5000 x4  7 Ho 3.54-3.56, 3 Pm 3.55-3.57, 2 Ce 3.56
6 Ho 0.0000 0.3305 0.0000 x4  1 Ce 3.53, 7 Ho 3.53-3.62, 4 Pm 3.57-3.58
7 Ho 0.1659 0.1672 0.0001 x8  7 Ho 3.53-3.58, 4 Pm 3.54-3.59, 1 Ce 3.55
8 Ho 0.1667 0.3323 0.4996 x8  7 Ho 3.54-3.58, 5 Pm 3.55-3.57

---

Compound: OsI
Source: Alexandria
Functional: GGA-PBE
Structure: optimized geometry

Values from the calculation:
The value obtained for the uncorrected formation energy is 1.192 eV/atom.

a = 10.8993 Å, b = 4.5766 Å, c = 5.4099 Å
α = 90.00°, β = 90.00°, γ = 90.00°
Closest atoms and distances in Å follow each position.
Space group Pmn2_1 (No. 31)
One atom of each set of equivalent atoms:
1 Os 0.0000 0.2457 0.0000 x2  4 I 2.55-2.66, 2 Os 2.69
2 Os 0.2085 0.4093 0.7742 x4  4 I 2.63-2.77, 1 Os 2.69
3 I 0.0000 0.7433 0.7896 x2  4 Os 2.55-2.74
4 I 0.1650 0.1080 0.3435 x4  4 Os 2.63-2.77

---

Compound: CsAcBO4
Source: Alexandria
Functional: GGA-PBE
Structure: optimized geometry

Values from the calculation:
The value obtained for the uncorrected formation energy is -2.380 eV/atom.

a = 5.8274 Å, b = 5.5123 Å, c = 8.2961 Å
α = 90.00°, β = 107.81°, γ = 90.00°
Closest atoms and distances in Å follow each position.
Space group P2_1/m (No. 11)
One atom of each set of equivalent atoms:
1 Cs 0.2315 0.2500 0.4393 x2  6 O 3.06-3.26
2 Ac 0.2522 0.2500 0.9575 x2  6 O 2.50-2.64
3 B 0.3014 0.7500 0.1622 x2  4 O 1.48-1.51
4 O 0.1429 0.7500 0.2711 x2  1 B 1.48
5 O 0.1496 0.7500 0.9786 x2  1 B 1.51
6 O 0.4635 0.5344 0.1920 x4  1 B 1.49

---

Compound: Li4NiTe
Source: Alexandria
Functional: GGA-PBE
Structure: optimized geometry

Values from the calculation:
The value obtained for the uncorrected formation energy is -0.021 eV/atom.

a = 7.1712 Å, b = 7.1712 Å, c = 7.1712 Å
α = 90.00°, β = 90.00°, γ = 90.00°
Closest atoms and distances in Å follow each position.
Space group F-43m (No. 216)
One atom of each set of equivalent atoms:
1 Li 0.1240 0.1240 0.1240 x16  6 Li 2.51-2.56
2 Ni 0.2500 0.2500 0.7500 x4  12 Li 2.97, 4 Te 3.11
3 Te 0.0000 0.0000 0.5000 x4  12 Li 2.98, 4 Ni 3.11

---

Compound: TbTiBi
Source: Alexandria
Functional: GGA-PBE
Structure: optimized geometry

Values from the calculation:
The value obtained for the total DFT energy (no corrections) is -5.93 eV/atom.

a = 4.2873 Å, b = 4.2873 Å, c = 8.1177 Å
α = 90.00°, β = 90.00°, γ = 90.00°
Closest atoms and distances in Å follow each position.
Space group P4/nmm (No. 129, origin choice 2)
One atom of each set of equivalent atoms:
1 Tb 0.2500 0.2500 0.1535 x2  5 Bi 3.13-3.27
2 Ti 0.2500 0.7500 0.5000 x2  4 Bi 2.96, 4 Ti 3.03
3 Bi 0.2500 0.2500 0.7513 x2  4 Ti 2.96, 5 Tb 3.13-3.27

---

Compound: KTbSiSe4
Source: Alexandria
Functional: GGA-PBE
Structure: optimized geometry

Values from the calculation:
The value obtained for the uncorrected formation energy is -1.222 eV/atom.

a = 6.7021 Å, b = 6.9624 Å, c = 9.1115 Å
α = 90.00°, β = 107.57°, γ = 90.00°
Closest atoms and distances in Å follow each position.
Space group P2_1/m (No. 11)
One atom of each set of equivalent atoms:
1 K 0.2457 0.2500 0.4389 x2  8 Se 3.34-3.69
2 Tb 0.2716 0.2500 0.9485 x2  6 Se 2.90-2.99
3 Si 0.2768 0.7500 0.1724 x2  4 Se 2.26-2.30
4 Se 0.0747 0.7500 0.9222 x2  1 Si 2.27
5 Se 0.0787 0.7500 0.3343 x2  1 Si 2.26
6 Se 0.4942 0.5044 0.7869 x4  1 Si 2.30

---

Compound: NaAcPAu
Source: Alexandria
Functional: GGA-PBE
Structure: optimized geometry

Values from the calculation:
The value obtained for the total DFT energy (no corrections) is -4.28 eV/atom.

a = 7.3892 Å, b = 7.3892 Å, c = 7.3892 Å
α = 90.00°, β = 90.00°, γ = 90.00°
Closest atoms and distances in Å follow each position.
Space group F-43m (No. 216)
One atom of each set of equivalent atoms:
1 Na 0.0000 0.0000 0.0000 x4  4 Au 3.20, 4 P 3.20
2 Ac 0.0000 0.0000 0.5000 x4  4 Au 3.20, 4 P 3.20
3 P 0.2500 0.2500 0.7500 x4  4 Ac 3.20, 4 Na 3.20
4 Au 0.2500 0.2500 0.2500 x4  4 Ac 3.20, 4 Na 3.20

---

Compound: PaMnAlMo
Source: Alexandria
Functional: GGA-PBE
Structure: optimized geometry

Values from the calculation:
The value obtained for the total DFT energy (no corrections) is -8.41 eV/atom.

a = 6.4512 Å, b = 6.4512 Å, c = 6.4512 Å
α = 90.00°, β = 90.00°, γ = 90.00°
Closest atoms and distances in Å follow each position.
Space group F-43m (No. 216)
One atom of each set of equivalent atoms:
1 Pa 0.0000 0.0000 0.0000 x4  4 Mo 2.79, 4 Mn 2.79
2 Mn 0.2500 0.2500 0.2500 x4  4 Pa 2.79, 4 Al 2.79
3 Al 0.0000 0.0000 0.5000 x4  4 Mn 2.79, 4 Mo 2.79
4 Mo 0.2500 0.2500 0.7500 x4  4 Pa 2.79, 4 Al 2.79

---

Compound: Dy2LuTl
Source: Alexandria
Functional: GGA-PBE
Structure: optimized geometry

Values from the calculation:
The value obtained for the total DFT energy (no corrections) is -4.06 eV/atom.

a = 7.6828 Å, b = 7.6828 Å, c = 7.6828 Å
α = 90.00°, β = 90.00°, γ = 90.00°
Closest atoms and distances in Å follow each position.
Space group Fm-3m (No. 225)
One atom of each set of equivalent atoms:
1 Dy 0.2500 0.2500 0.2500 x8  4 Tl 3.33, 4 Lu 3.33
2 Lu 0.0000 0.0000 0.0000 x4  8 Dy 3.33
3 Tl 0.0000 0.0000 0.5000 x4  8 Dy 3.33

---

Compound: AcSm2MnN4
Source: Alexandria
Functional: GGA-PBE
Structure: optimized geometry

Values from the calculation:
The value obtained for the uncorrected formation energy is -1.069 eV/atom.

a = 3.5452 Å, b = 12.0145 Å, c = 11.9885 Å
α = 90.00°, β = 90.00°, γ = 90.00°
Closest atoms and distances in Å follow each position.
Space group Cmcm (No. 63)
One atom of each set of equivalent atoms:
1 Ac 0.0000 0.0999 0.2500 x4  6 N 2.79-2.84
2 Sm 0.0000 0.3692 0.0455 x8  6 N 2.42-2.62
3 Mn 0.0000 0.1687 0.7500 x4  4 N 1.88-2.04
4 N 0.0000 0.0000 0.0000 x4  4 Sm 2.43
5 N 0.0000 0.2677 0.6286 x8  1 Mn 1.88
6 N 0.0000 0.4152 0.2500 x4  2 Mn 2.04

---

Compound: KSrIrO3
Source: Alexandria
Functional: GGA-PBE
Structure: optimized geometry

Values from the calculation:
The value obtained for the uncorrected formation energy is -1.578 eV/atom.

a = 13.7174 Å, b = 3.8419 Å, c = 7.9415 Å
α = 90.00°, β = 106.21°, γ = 90.00°
Closest atoms and distances in Å follow each position.
Space group C2/m (No. 12)
One atom of each set of equivalent atoms:
1 K 0.1459 0.0000 0.0663 x4  7 O 2.75-2.99
2 Sr 0.1564 0.0000 0.5830 x4  7 O 2.47-2.72
3 Ir 0.0044 0.5000 0.2773 x4  4 O 1.92-2.01
4 O 0.0048 0.0000 0.2796 x4  2 Ir 1.92
5 O 0.1466 0.5000 0.7932 x4  1 Ir 1.99
6 O 0.1569 0.5000 0.3596 x4  1 Ir 2.01

---

no.,spin magnetization (μB/cell)
1,0.00
2,0.00
3,0.00
4,3.02
5,4.87
6,0.00
7,0.00
8,0.00
9,0.00
10,2.62
11,0.00
12,2.08
13,0.77
14,0.00
15,0.00
16,0.00
17,7.01
18,4.50
19,14.77
20,2.96